# PmCr2GaO6

A geometry-optimized PmCr2GaO6 structure (PBE+U, Alexandria).

Output
Density of states at the Fermi level in states/eV/atom: 0.00
Crystal system: trigonal
Magnetization in μB/f.u.: 6.00
E_tot in eV for the cell shown: -74.93

```
data_PmCr2GaO6
_symmetry_space_group_name_H-M 'P 1'
_symmetry_Int_Tables_number 1
_cell_length_a 5.3238
_cell_length_b 5.3210
_cell_length_c 5.5455
_cell_angle_alpha 61.28
_cell_angle_beta 61.30
_cell_angle_gamma 60.01
loop_
_symmetry_equiv_pos_as_xyz
'x,y,z'
loop_
_atom_site_label
_atom_site_type_symbol
_atom_site_fract_x
_atom_site_fract_y
_atom_site_fract_z
O1 O 0.9095 0.6184 0.2233
O2 O 0.1766 0.3515 0.7447
O3 O 0.7271 0.1765 0.7449
O4 O 0.6187 0.2491 0.2230
O5 O 0.3514 0.7272 0.7447
O6 O 0.2488 0.9095 0.2232
Pm1 Pm 0.7852 0.7851 0.6443
Ga1 Ga 0.3124 0.3123 0.0629
Cr1 Cr 0.0126 0.0126 0.9621
Cr2 Cr 0.5193 0.5193 0.4422
```